Entry 1:
Entry from the Alexandria database: TaMn after structural relaxation (GGA-PBE).

Summary:
energy	-10.442	eV per atom
space group	Cmmm
M_tot	0.58	μB/cell

Unit cell a=2.790 b=2.790 c=4.048 alpha=90.00 beta=90.00 gamma=110.68
Fractional coordinates of all 2 atoms:
Ta1 0.000 0.000 0.000
Mn1 0.500 0.500 0.500

=====

Entry 2:
Entry from the Alexandria database: Ba2CaI6 after structural relaxation (GGA-PBE).

Summary:
formation energy without anion corrections	-1689	meV per atom
space group	P4_2/mnm
M_tot	0.00	μB/cell

Unit cell a=7.901 b=7.901 c=15.284 alpha=90.00 beta=90.00 gamma=90.00
Fractional coordinates of all 18 atoms:
Ba1 0.000 0.000 0.166
Ba2 0.000 0.000 0.834
Ba3 0.500 0.500 0.334
Ba4 0.500 0.500 0.666
Ca1 0.000 0.000 0.500
Ca2 0.500 0.500 0.000
I1 0.189 0.189 0.347
I2 0.189 0.189 0.653
I3 0.213 0.213 0.000
I4 0.287 0.713 0.500
I5 0.311 0.689 0.153
I6 0.311 0.689 0.847
I7 0.689 0.311 0.153
I8 0.689 0.311 0.847
I9 0.713 0.287 0.500
I10 0.787 0.787 0.000
I11 0.811 0.811 0.347
I12 0.811 0.811 0.653

=====

Entry 3:
Entry from the Alexandria database: Pm6ZnRh3 after structural relaxation (GGA-PBE).

Summary:
E above lowest polymorph	0.065	eV per atom
space group	Cmc2_1
M_tot	0.00	μB/cell

Unit cell a=8.994 b=8.994 c=7.213 alpha=90.00 beta=90.00 gamma=105.22
Fractional coordinates of all 20 atoms:
Pm1 0.009 0.991 0.500
Pm2 0.104 0.542 0.451
Pm3 0.232 0.768 0.846
Pm4 0.296 0.361 0.894
Pm5 0.361 0.296 0.394
Pm6 0.458 0.896 0.451
Pm7 0.542 0.104 0.951
Pm8 0.639 0.704 0.894
Pm9 0.704 0.639 0.394
Pm10 0.768 0.232 0.346
Pm11 0.896 0.458 0.951
Pm12 0.991 0.009 0.000
Zn1 0.166 0.834 0.233
Zn2 0.834 0.166 0.733
Rh1 0.072 0.294 0.200
Rh2 0.294 0.072 0.700
Rh3 0.402 0.598 0.618
Rh4 0.598 0.402 0.118
Rh5 0.706 0.928 0.200
Rh6 0.928 0.706 0.700

=====

Entry 4:
Entry from the Alexandria database: BeTlMo2 after structural relaxation (GGA-PBE).

Summary:
E above lowest polymorph	0.371	eV per atom
space group	Cmmm
M_tot	0.00	μB/cell

Unit cell a=5.059 b=5.059 c=2.850 alpha=90.00 beta=90.00 gamma=116.81
Fractional coordinates of all 4 atoms:
Be1 0.000 0.000 0.000
Tl1 0.500 0.500 0.000
Mo1 0.000 0.500 0.500
Mo2 0.500 0.000 0.500

=====

Entry 5:
Entry from the Alexandria database: BaTa2Cr after structural relaxation (GGA-PBE).

Summary:
E above lowest polymorph	0.210	eV per atom
space group	Imm2
M_tot	0.00	μB/cell

Unit cell a=7.908 b=7.908 c=7.908 alpha=156.50 beta=148.93 gamma=39.33
Fractional coordinates of all 4 atoms:
Ba1 0.000 0.000 0.000
Ta1 0.327 0.327 0.000
Ta2 0.709 0.209 0.500
Cr1 0.204 0.704 0.500